An optimized crystal structure of La2TiSn4Pd3, computed with PBE-GGA.

Values from the calculation:
The electronic total energy comes out at -56.67 eV for the cell shown. The symmetry is P-4m2 (115).

Structure (POSCAR):
```
La2TiSn4Pd3
1.0
4.484 0.000 0.000
0.000 4.484 0.000
0.000 0.000 11.628
La Ti Sn Pd
2 1 4 3
Direct
0.000 0.500 0.247
0.500 0.000 0.753
0.000 0.000 0.500
0.000 0.000 0.000
0.000 0.500 0.638
0.500 0.000 0.362
0.500 0.500 0.000
0.000 0.500 0.867
0.500 0.000 0.133
0.500 0.500 0.500
```


An optimized crystal structure of LaTlSnPd, computed with PBE-GGA.

Values from the calculation:
The electronic total energy comes out at -18.51 eV for the cell shown. The symmetry is F-43m (216).

Structure (POSCAR):
```
LaTlSnPd
1.0
0.000 3.677 3.677
3.677 0.000 3.677
3.677 3.677 0.000
La Tl Sn Pd
1 1 1 1
Direct
0.000 0.000 0.000
0.250 0.250 0.250
0.500 0.500 0.500
0.750 0.750 0.750
```


An optimized crystal structure of La2TmSn3Pd6, computed with PBE-GGA.

Values from the calculation:
The electronic total energy comes out at -64.37 eV for the cell shown. The symmetry is P4/mmm (123).

Structure (POSCAR):
```
La2TmSn3Pd6
1.0
4.130 0.000 0.000
0.000 4.130 0.000
0.000 0.000 17.655
La Tm Sn Pd
2 1 3 6
Direct
0.000 0.000 0.187
0.000 0.000 0.813
0.000 0.000 0.500
0.500 0.500 0.000
0.500 0.500 0.296
0.500 0.500 0.704
0.000 0.500 0.391
0.000 0.500 0.609
0.500 0.000 0.391
0.500 0.000 0.609
0.500 0.500 0.145
0.500 0.500 0.855
```


An optimized crystal structure of LaTmSnPd, computed with PBE-GGA.

Values from the calculation:
The electronic total energy comes out at -21.40 eV for the cell shown. The symmetry is F-43m (216).

Structure (POSCAR):
```
LaTmSnPd
1.0
0.000 3.730 3.730
3.730 0.000 3.730
3.730 3.730 0.000
La Tm Sn Pd
1 1 1 1
Direct
0.000 0.000 0.000
0.500 0.500 0.500
0.750 0.750 0.750
0.250 0.250 0.250
```


An optimized crystal structure of LaSnPdW2, computed with PBE-GGA.

Values from the calculation:
The electronic total energy comes out at -30.32 eV for the cell shown. The symmetry is P4/mmm (123).

Structure (POSCAR):
```
LaSnPdW2
1.0
4.969 0.000 0.000
0.000 4.969 0.000
0.000 0.000 5.781
La Sn Pd W
1 1 1 2
Direct
0.000 0.000 0.000
0.000 0.000 0.500
0.500 0.500 0.000
0.000 0.500 0.500
0.500 0.000 0.500
```


An optimized crystal structure of La2YSn3Pd4, computed with PBE-GGA.

Values from the calculation:
The electronic total energy comes out at -57.53 eV for the cell shown. The symmetry is P-4m2 (115).

Structure (POSCAR):
```
La2YSn3Pd4
1.0
4.633 0.000 0.000
0.000 4.633 0.000
0.000 0.000 11.145
La Y Sn Pd
2 1 3 4
Direct
0.000 0.500 0.225
0.500 0.000 0.775
0.000 0.000 0.500
0.000 0.500 0.877
0.500 0.000 0.123
0.500 0.500 0.500
0.000 0.000 0.000
0.000 0.500 0.643
0.500 0.000 0.357
0.500 0.500 0.000
```


An optimized crystal structure of La2YSn3Pd6, computed with PBE-GGA.

Values from the calculation:
The electronic total energy comes out at -66.13 eV for the cell shown. The symmetry is P4/mmm (123).

Structure (POSCAR):
```
La2YSn3Pd6
1.0
4.124 0.000 0.000
0.000 4.124 0.000
0.000 0.000 17.838
La Y Sn Pd
2 1 3 6
Direct
0.000 0.000 0.185
0.000 0.000 0.815
0.000 0.000 0.500
0.500 0.500 0.000
0.500 0.500 0.293
0.500 0.500 0.707
0.000 0.500 0.386
0.000 0.500 0.614
0.500 0.000 0.386
0.500 0.000 0.614
0.500 0.500 0.143
0.500 0.500 0.857
```


An optimized crystal structure of La2ZnSnPd6, computed with PBE-GGA.

Values from the calculation:
The electronic total energy comes out at -52.93 eV for the cell shown. The symmetry is P-1 (2).

Structure (POSCAR):
```
La2ZnSnPd6
1.0
5.608 0.000 0.000
2.784 5.944 0.000
2.800 0.713 6.079
La Zn Sn Pd
2 1 1 6
Direct
0.003 0.240 0.252
0.997 0.760 0.748
0.500 0.000 0.500
0.500 0.500 0.000
0.009 0.194 0.795
0.316 0.429 0.439
0.499 0.807 0.203
0.501 0.193 0.797
0.684 0.571 0.561
0.991 0.806 0.205
```